Computed, not measured: a geometry-optimized Tm2MnOs structure at the GGA-PBE level of DFT.

It has space group P4/mmm (No. 123), with a = 3.4019 Å, b = 3.4019 Å, c = 6.9842 Å, α = 90.00°, β = 90.00° and γ = 90.00°. Symmetry generates all atoms from Tm at (0.0000, 0.0000, 0.2335), Mn at (0.5000, 0.5000, 0.5000) and Os at (0.5000, 0.5000, 0.0000).

The calculation puts the magnetic moment at 3.337 μB/f.u. The calculation puts the polymorph energy (0 for the lowest one) at 14 meV/atom. The value obtained for the density of states at the Fermi level is 0.626 states/eV/atom. The density is 11.98 Mg/m³.

Computed, not measured: a geometry-optimized Tm2Mn16Os structure at the GGA-PBE level of DFT.

It has space group R3m (No. 160, hexagonal axes), with a = 8.6331 Å, b = 8.6331 Å, c = 11.6841 Å, α = 90.00°, β = 90.00° and γ = 120.00°. Symmetry generates all atoms from Tm at (0.0000, 0.0000, 0.0000), Tm at (0.0000, 0.0000, 0.2884), Mn at (0.0000, 0.0000, 0.7484), Mn at (0.0008, 0.2789, 0.6455), Mn at (0.0007, 0.5003, 0.1438), Mn at (0.0137, 0.5069, 0.5079), Mn at (0.1718, 0.3435, 0.1136) and Os at (0.0000, 0.0000, 0.5429).

The calculation puts the magnetic moment at 5.059 μB/f.u. The uncorrected energy comes out at -8.81 eV per atom. The value obtained for the density of states at the Fermi level is 1.014 states/eV/atom. The density is 9.29 Mg/m³.

Computed, not measured: a geometry-optimized YTmMnOs structure at the GGA-PBE level of DFT.

It has space group F-43m (No. 216), with a = 6.9021 Å, b = 6.9021 Å, c = 6.9021 Å, α = 90.00°, β = 90.00° and γ = 90.00°. Symmetry generates all atoms from Y at (0.0000, 0.0000, 0.0000), Tm at (0.0000, 0.0000, 0.5000), Mn at (0.2500, 0.2500, 0.2500) and Os at (0.2500, 0.2500, 0.7500).

The calculation puts the magnetic moment at 3.674 μB/f.u. The uncorrected energy comes out at -7.86 eV per atom. The value obtained for the density of states at the Fermi level is 0.568 states/eV/atom. The density is 10.16 Mg/m³.